## Cs2GdCl5 (SCAN)

Data for a crystal of Cs2GdCl5 relaxed with PBEsol.

Cell lengths 9.4798, 7.4072, 15.1110 Å; angles 90.00, 90.00, 90.00 degrees
Element x y z (fractional)
Cs 0.0292 0.2500 0.2091
Cs 0.1702 0.7500 0.4150
Cs 0.3298 0.2500 0.9150
Cs 0.4708 0.7500 0.7091
Cs 0.5292 0.2500 0.2909
Cs 0.6702 0.7500 0.0850
Cs 0.8298 0.2500 0.5850
Cs 0.9708 0.7500 0.7909
Gd 0.1845 0.7500 0.0656
Gd 0.3155 0.2500 0.5656
Gd 0.6845 0.7500 0.4344
Gd 0.8155 0.2500 0.9344
Cl 0.0000 0.0000 0.0000
Cl 0.0000 0.5000 0.0000
Cl 0.0195 0.7500 0.2037
Cl 0.1566 0.5111 0.6188
Cl 0.1566 0.9889 0.6188
Cl 0.2111 0.2500 0.4037
Cl 0.2889 0.7500 0.9037
Cl 0.3434 0.0111 0.1188
Cl 0.3434 0.4889 0.1188
Cl 0.4805 0.2500 0.7037
Cl 0.5000 0.0000 0.5000
Cl 0.5000 0.5000 0.5000
Cl 0.5195 0.7500 0.2963
Cl 0.6566 0.5111 0.8812
Cl 0.6566 0.9889 0.8812
Cl 0.7111 0.2500 0.0963
Cl 0.7889 0.7500 0.5963
Cl 0.8434 0.0111 0.3812
Cl 0.8434 0.4889 0.3812
Cl 0.9805 0.2500 0.7963

- V (Å³/f.u.) = 265.3
- uncorrected energy (eV/atom) = -24.22
- total magnetic moment (μB/cell) = 27.7
- ρ (g cm⁻³) = 3.8